(1)
# Ac2Zn5Au12 | Alexandria | GGA-PBE | optimized geometry
data_Ac2Zn5Au12
_symmetry_space_group_name_H-M 'P 1'
_symmetry_Int_Tables_number 1
_symmetry_space_group_name_Hall 'P 1'
_cell_length_a 7.286
_cell_length_b 7.286
_cell_length_c 7.286
_cell_angle_alpha 81.78
_cell_angle_beta 81.78
_cell_angle_gamma 81.78
loop_
_atom_site_label
_atom_site_fract_x
_atom_site_fract_y
_atom_site_fract_z
Ac1 0.648 0.648 0.648
Ac2 0.352 0.352 0.352
Zn1 0.000 0.000 0.500
Zn2 0.000 0.500 0.000
Zn3 0.500 0.000 0.000
Zn4 0.903 0.903 0.903
Zn5 0.097 0.097 0.097
Au1 0.300 0.700 0.000
Au2 0.700 0.000 0.300
Au3 0.000 0.300 0.700
Au4 0.700 0.300 0.000
Au5 0.300 0.000 0.700
Au6 0.000 0.700 0.300
Au7 0.340 0.340 0.867
Au8 0.340 0.867 0.340
Au9 0.867 0.340 0.340
Au10 0.660 0.133 0.660
Au11 0.660 0.660 0.133
Au12 0.133 0.660 0.660
# Total energy   -3.22 eV/atom
# E_form   -382 meV per atom

(2)
# HgPtSe2 | Alexandria | GGA-PBE | optimized geometry
data_HgPtSe2
_symmetry_space_group_name_H-M 'P 1'
_symmetry_Int_Tables_number 1
_symmetry_space_group_name_Hall 'P 1'
_cell_length_a 5.166
_cell_length_b 5.166
_cell_length_c 5.166
_cell_angle_alpha 130.00
_cell_angle_beta 130.00
_cell_angle_gamma 73.41
loop_
_atom_site_label
_atom_site_fract_x
_atom_site_fract_y
_atom_site_fract_z
Hg1 0.500 0.500 0.000
Pt1 0.750 0.250 0.500
Se1 0.000 0.000 0.000
Se2 0.250 0.750 0.500
# Raw formation energy   0.4805 eV/atom
# Total energy   -2.85 eV/atom

(3)
# Ba2HRhAu | Alexandria | GGA-PBE | optimized geometry
data_Ba2HRhAu
_symmetry_space_group_name_H-M 'P 1'
_symmetry_Int_Tables_number 1
_symmetry_space_group_name_Hall 'P 1'
_cell_length_a 5.730
_cell_length_b 5.730
_cell_length_c 3.698
_cell_angle_alpha 90.00
_cell_angle_beta 90.00
_cell_angle_gamma 90.00
loop_
_atom_site_label
_atom_site_fract_x
_atom_site_fract_y
_atom_site_fract_z
Rh1 0.000 0.000 0.500
Au1 0.500 0.500 0.500
Ba1 0.000 0.500 0.000
Ba2 0.500 0.000 0.000
H1 0.000 0.000 0.000
# Total energy   -4.02 eV/atom

(4)
# SrEr5Cd6 | Alexandria | GGA-PBE | optimized geometry
data_SrEr5Cd6
_symmetry_space_group_name_H-M 'P 1'
_symmetry_Int_Tables_number 1
_symmetry_space_group_name_Hall 'P 1'
_cell_length_a 5.311
_cell_length_b 7.544
_cell_length_c 9.211
_cell_angle_alpha 114.18
_cell_angle_beta 107.04
_cell_angle_gamma 90.00
loop_
_atom_site_label
_atom_site_fract_x
_atom_site_fract_y
_atom_site_fract_z
Sr1 0.000 0.000 0.000
Er1 0.663 0.163 0.326
Er2 0.331 0.331 0.663
Er3 0.000 0.500 0.000
Er4 0.669 0.669 0.337
Er5 0.337 0.837 0.674
Cd1 0.828 0.567 0.656
Cd2 0.828 0.089 0.656
Cd3 0.500 0.729 0.000
Cd4 0.500 0.271 0.000
Cd5 0.172 0.911 0.344
Cd6 0.172 0.433 0.344
# Total energy   -2.79 eV/atom
# E_form   -294 meV per atom

(5)
# BeBiSb2I | Alexandria | GGA-PBE | optimized geometry
data_BeBiSb2I
_symmetry_space_group_name_H-M 'P 1'
_symmetry_Int_Tables_number 1
_symmetry_space_group_name_Hall 'P 1'
_cell_length_a 5.927
_cell_length_b 5.927
_cell_length_c 6.207
_cell_angle_alpha 90.00
_cell_angle_beta 90.00
_cell_angle_gamma 90.00
loop_
_atom_site_label
_atom_site_fract_x
_atom_site_fract_y
_atom_site_fract_z
I1 0.000 0.000 0.500
Sb1 0.000 0.500 0.000
Sb2 0.500 0.000 0.000
Bi1 0.000 0.000 0.000
Be1 0.500 0.500 0.500
# Raw formation energy   1.2273 eV/atom
# Total energy   -2.25 eV/atom

(6)
# Ca3Tc | Alexandria | GGA-PBE | optimized geometry
data_Ca3Tc
_symmetry_space_group_name_H-M 'P 1'
_symmetry_Int_Tables_number 1
_symmetry_space_group_name_Hall 'P 1'
_cell_length_a 6.950
_cell_length_b 6.950
_cell_length_c 5.667
_cell_angle_alpha 65.95
_cell_angle_beta 65.95
_cell_angle_gamma 29.15
loop_
_atom_site_label
_atom_site_fract_x
_atom_site_fract_y
_atom_site_fract_z
Ca1 0.500 0.500 0.500
Ca2 0.691 0.691 0.809
Ca3 0.309 0.309 0.191
Tc1 0.000 0.000 0.000
# Total energy   -3.60 eV/atom
# E_form   495 meV per atom

(7)
# LiMgSi2 | Alexandria | GGA-PBE | optimized geometry
data_LiMgSi2
_symmetry_space_group_name_H-M 'P 1'
_symmetry_Int_Tables_number 1
_symmetry_space_group_name_Hall 'P 1'
_cell_length_a 4.562
_cell_length_b 4.562
_cell_length_c 4.562
_cell_angle_alpha 60.00
_cell_angle_beta 60.00
_cell_angle_gamma 60.00
loop_
_atom_site_label
_atom_site_fract_x
_atom_site_fract_y
_atom_site_fract_z
Li1 0.500 0.500 0.500
Mg1 0.750 0.750 0.750
Si1 0.000 0.000 0.000
Si2 0.250 0.250 0.250
# Raw formation energy   0.1882 eV/atom
# Total energy   -3.40 eV/atom

(8)
# HfMn3Hg | Alexandria | GGA-PBE | optimized geometry
data_HfMn3Hg
_symmetry_space_group_name_H-M 'P 1'
_symmetry_Int_Tables_number 1
_symmetry_space_group_name_Hall 'P 1'
_cell_length_a 4.784
_cell_length_b 4.784
_cell_length_c 4.784
_cell_angle_alpha 90.00
_cell_angle_beta 90.00
_cell_angle_gamma 90.00
loop_
_atom_site_label
_atom_site_fract_x
_atom_site_fract_y
_atom_site_fract_z
Mn1 0.000 0.500 0.000
Mn2 0.000 0.000 0.500
Mn3 0.500 0.000 0.000
Hf1 0.000 0.000 0.000
Hg1 0.500 0.500 0.500
# Total energy   -6.24 eV/atom
# E_form   1315 meV per atom

The highest total energy belongs to which entry? BeBiSb2I

What is the total energy in the eighth record? -6.24 eV/atom